[1]
Material: Tb3PmNi2
Method: DFT, PBE
State: relaxed

Theoretical density (g/cm3): 8.1
Space group: C2/m
M_tot (μB/cell): 0.00
Total energy (eV for the cell shown): -63.56

```
Tb3PmNi2
1.0
-2.6694 2.5596 -1.2742
-5.4457 -4.7579 -4.1533
-5.5249 1.2946 8.1708
Ni Tb Pm
4 6 2
Cartesian
-8.3265 -2.9612 -0.5130
-9.6885 1.3552 5.0068
-3.9516 -2.2589 -2.2635
-5.3135 2.0575 3.2564
-9.3448 -0.5458 0.4681
-11.1607 -0.8524 3.6564
-4.7416 0.9171 5.7716
-8.8984 -1.8208 -3.0282
-4.2953 -0.3579 2.2753
-2.4794 -0.0513 -0.9130
-7.6092 -0.0975 3.7368
-6.0308 -0.8062 -0.9935
```



[2]
Material: TbPmTcNi
Method: DFT, PBE
State: relaxed

Theoretical density (g/cm3): 9.3
Space group: F-43m
M_tot (μB/cell): 0.00
Total energy (eV for the cell shown): -25.61

```
TbPmTcNi
1.0
-4.7730 -0.0902 -0.9994
-3.2181 -0.9110 3.5500
-2.9016 3.5633 1.6347
Pm Tb Ni Tc
1 1 1 1
Cartesian
-5.4463 1.2811 2.0926
0.0000 0.0000 0.0000
-2.7232 0.6405 1.0463
-8.1695 1.9216 3.1389
```



[3]
Material: TbPm2Zn12Ni3
Method: DFT, PBE
State: relaxed

Theoretical density (g/cm3): 6.5
Space group: R-3m
M_tot (μB/cell): 0.00
Total energy (eV for the cell shown): -45.06

```
TbPm2Zn12Ni3
1.0
8.2069 0.2561 0.1817
4.2757 7.0098 0.1817
4.2757 2.4888 6.5556
Zn Pm Ni Tb
12 2 3 1
Cartesian
9.1504 2.5679 1.8214
11.1299 8.0707 5.7245
6.7519 6.6886 1.8214
7.6079 7.1868 5.0975
4.2439 2.4703 3.4392
10.0064 3.0662 5.0975
12.5144 5.6922 5.7245
10.0064 5.8246 1.2086
6.7519 3.9301 5.7104
5.6284 1.6840 1.1944
4.2439 4.0625 1.1944
12.5144 7.2844 3.4797
9.9509 5.7922 4.1084
6.8074 3.9625 2.8105
2.1378 3.5049 0.0908
4.1035 0.1281 0.0908
2.1378 1.2444 3.2778
0.0000 0.0000 0.0000
```



| no. | D(E_F) (states/eV/f.u.) |
| --- | --- |
| 1 | 6.879 |
| 2 | 3.341 |
| 3 | 8.741 |